# 1
# HoThNi2 | Alexandria | PBE | optimized geometry
# V = 20.68 Å³ per atom
# Electronic total energy = -6.351 eV per atom
# E above lowest polymorph = 0 meV/atom
# Formation energy = -0.46 eV/atom
# M_tot = 0.00 μB per cell
# Crystal system = monoclinic
data_HoThNi2
_space_group_name_H-M_alt 'P 1 m 1'
_space_group_IT_number 6
_cell_length_a 3.665
_cell_length_b 4.354
_cell_length_c 5.492
_cell_angle_alpha 90.00
_cell_angle_beta 109.30
_cell_angle_gamma 90.00
loop_
_space_group_symop_operation_xyz
'x,y,z'
'x,-y,z'
loop_
_atom_site_label
_atom_site_type_symbol
_atom_site_fract_x
_atom_site_fract_y
_atom_site_fract_z
Ho1 Ho 0.000 0.000 0.000
Th1 Th 0.272 0.500 0.546
Ni1 Ni 0.558 0.500 0.118
Ni2 Ni 0.718 0.000 0.436

---

# 2
# NaScIn6 | Alexandria | PBE | optimized geometry
# V = 24.53 Å³ per atom
# Electronic total energy = -3.180 eV per atom
# Formation energy = -0.17 eV/atom
# M_tot = 0.00 μB per cell
# Crystal system = tetragonal
data_NaScIn6
_space_group_name_H-M_alt 'P 4/m m m'
_space_group_IT_number 123
_space_group_name_Hall '-P 4 2'
_cell_length_a 4.576
_cell_length_b 4.576
_cell_length_c 9.371
_cell_angle_alpha 90.00
_cell_angle_beta 90.00
_cell_angle_gamma 90.00
loop_
_atom_site_label
_atom_site_type_symbol
_atom_site_fract_x
_atom_site_fract_y
_atom_site_fract_z
Na1 Na 0.000 0.000 0.000
Sc1 Sc 0.000 0.000 0.500
In1 In 0.000 0.500 0.257
In2 In 0.500 0.500 0.000
In3 In 0.500 0.500 0.500

---

# 3
# DyMg2AgAu4 | Alexandria | PBE | optimized geometry
# V = 19.61 Å³ per atom
# Electronic total energy = -3.513 eV per atom
# Formation energy = -0.54 eV/atom
# M_tot = 0.00 μB per cell
# Crystal system = trigonal
data_DyMg2AgAu4
_space_group_name_H-M_alt 'R -3 m'
_space_group_IT_number 166
_space_group_name_Hall '-R 3 2"'
_cell_length_a 4.7653
_cell_length_b 4.7653
_cell_length_c 23.9284
_cell_angle_alpha 90.00
_cell_angle_beta 90.00
_cell_angle_gamma 120.00
loop_
_atom_site_label
_atom_site_type_symbol
_atom_site_fract_x
_atom_site_fract_y
_atom_site_fract_z
Dy1 Dy 0.0000 0.0000 0.0000
Mg1 Mg 0.0000 0.0000 0.2428
Ag1 Ag 0.0000 0.0000 0.5000
Au1 Au 0.0000 0.0000 0.1233
Au2 Au 0.0000 0.0000 0.3809

---

# 4
# Nb6Ga3Pd | Alexandria | PBE | optimized geometry
# V = 18.09 Å³ per atom
# Electronic total energy = -7.473 eV per atom
# Formation energy = 0.00 eV/atom
# M_tot = 0.00 μB per cell
# Crystal system = orthorhombic
data_Nb6Ga3Pd
_space_group_name_H-M_alt 'C m c 21'
_space_group_IT_number 36
_cell_length_a 8.664
_cell_length_b 13.319
_cell_length_c 6.271
_cell_angle_alpha 90.00
_cell_angle_beta 90.00
_cell_angle_gamma 90.00
loop_
_space_group_symop_operation_xyz
'x,y,z'
'-x,-y,z+1/2'
'-x,y,z'
'x,-y,z+1/2'
'x+1/2,y+1/2,z'
'-x+1/2,-y+1/2,z+1/2'
'-x+1/2,y+1/2,z'
'x+1/2,-y+1/2,z+1/2'
loop_
_atom_site_label
_atom_site_type_symbol
_atom_site_fract_x
_atom_site_fract_y
_atom_site_fract_z
Nb1 Nb 0.000 0.040 0.000
Nb2 Nb 0.000 0.267 0.779
Nb3 Nb 0.182 0.447 0.805
Nb4 Nb 0.221 0.204 0.044
Ga1 Ga 0.000 0.383 0.384
Ga2 Ga 0.183 0.110 0.665
Pd1 Pd 0.000 0.177 0.360

---

Copy entry 1 word for word.
# HoThNi2 | Alexandria | PBE | optimized geometry
# V = 20.68 Å³ per atom
# Electronic total energy = -6.351 eV per atom
# E above lowest polymorph = 0 meV/atom
# Formation energy = -0.46 eV/atom
# M_tot = 0.00 μB per cell
# Crystal system = monoclinic
data_HoThNi2
_space_group_name_H-M_alt 'P 1 m 1'
_space_group_IT_number 6
_cell_length_a 3.665
_cell_length_b 4.354
_cell_length_c 5.492
_cell_angle_alpha 90.00
_cell_angle_beta 109.30
_cell_angle_gamma 90.00
loop_
_space_group_symop_operation_xyz
'x,y,z'
'x,-y,z'
loop_
_atom_site_label
_atom_site_type_symbol
_atom_site_fract_x
_atom_site_fract_y
_atom_site_fract_z
Ho1 Ho 0.000 0.000 0.000
Th1 Th 0.272 0.500 0.546
Ni1 Ni 0.558 0.500 0.118
Ni2 Ni 0.718 0.000 0.436